{"formula": "KZr3Tl", "functional": "PBE-GGA", "state": "optimized geometry", "lattice_angstrom": [[5.0093, 0.0000, 0.0000], [0.0000, 5.0093, 0.0000], [0.0000, 0.0000, 5.0093]], "species": ["K", "Zr", "Zr", "Zr", "Tl"], "fractional_positions": [[0.0000, 0.0000, 0.0000], [0.0000, 0.0000, 0.5000], [0.0000, 0.5000, 0.0000], [0.5000, 0.0000, 0.0000], [0.5000, 0.5000, 0.5000]], "relative_energy_ev_per_atom": 0.577, "formation_enthalpy_0k_ev_per_atom": 1.817, "space_group": "Pm-3m, No. 221"}

{"formula": "PrYInNi", "functional": "PBE-GGA", "state": "optimized geometry", "lattice_angstrom": [[0.0000, 3.6851, 3.6851], [3.6851, 0.0000, 3.6851], [3.6851, 3.6851, 0.0000]], "species": ["Pr", "Y", "In", "Ni"], "fractional_positions": [[0.0000, 0.0000, 0.0000], [0.5000, 0.5000, 0.5000], [0.2500, 0.2500, 0.2500], [0.7500, 0.7500, 0.7500]], "formation_enthalpy_0k_ev_per_atom": -0.263, "space_group": "F-43m, No. 216"}

{"formula": "HgSb2Pt", "functional": "PBE-GGA", "state": "optimized geometry", "lattice_angstrom": [[3.3444, 0.0000, 0.0000], [0.0000, 3.3444, 0.0000], [0.0000, 0.0000, 8.4537]], "species": ["Hg", "Sb", "Sb", "Pt"], "fractional_positions": [[0.0000, 0.0000, 0.0000], [0.0000, 0.0000, 0.3954], [0.5000, 0.5000, 0.7395], [0.5000, 0.5000, 0.2238]], "total_energy_ev_per_fu": -14.44, "space_group": "P4mm, No. 99"}